Ca4Al6WO16: relaxed, GGA+U.

Summary:
The calculation puts the magnetic moment at 0.000 μB per atom. Its density is 3.03 g cm⁻³. The calculation puts the density of states at the Fermi level at 0.00 states/eV/f.u. The total DFT energy (no corrections) comes out at -7.256 eV per atom. The space group is No. 82.

Geometry as extended XYZ:
```
27
Lattice="-4.6740 4.6740 4.7799 4.6740 -4.6740 4.7799 4.6740 4.6740 -4.7799" Properties=species:S:1:pos:R:3 pbc="T T T"
Ca 2.6677 2.3338 -2.2415
Ca 2.0063 2.3402 2.5384
Ca 2.3402 -2.0063 7.0214
Ca 2.3338 6.6804 2.2415
Al 6.9913 0.1380 0.0570
Al 0.1380 2.3568 -0.0570
Al 4.6740 0.0000 2.3899
Al 4.5361 2.3173 4.7229
Al 0.0000 4.6740 2.3899
Al -2.3173 4.5361 4.8369
W 0.0000 0.0000 4.7799
O 3.2640 -0.6237 1.4961
O 3.2813 -3.1190 4.3794
O 1.5550 1.3927 0.4005
O 5.2977 -1.4101 3.2838
O 6.0841 0.6237 1.4961
O 4.4334 3.2165 -1.0494
O 4.0504 1.4101 3.2838
O -0.1541 3.2096 1.4575
O 0.2406 1.4575 3.7305
O 1.4575 -0.2406 5.8293
O 3.2165 4.9147 1.0494
O 1.3927 7.7931 -0.4005
O 0.1541 6.1385 1.4575
O 1.4644 4.5199 3.3224
O -1.4644 4.8282 3.3224
O 3.1190 3.2813 5.1804
```